Record 1
Crystalline PmZr2Sn at its relaxed geometry. Source: Alexandria, functional PBE.

```
data_PmZr2Sn
_chemical_formula_sum 'Pm4 Zr8 Sn4'
_space_group_name_H-M_alt 'F m -3 m'
_space_group_IT_number 225
_space_group_name_Hall '-F 4 2 3'
_cell_length_a 7.263
_cell_length_b 7.263
_cell_length_c 7.263
_cell_angle_alpha 90.00
_cell_angle_beta 90.00
_cell_angle_gamma 90.00
loop_
_atom_site_label
_atom_site_type_symbol
_atom_site_fract_x
_atom_site_fract_y
_atom_site_fract_z
Pm1 Pm 0.000 0.000 0.000
Zr1 Zr 0.250 0.250 0.250
Sn1 Sn 0.000 0.000 0.500
```

- Crystal system: cubic
- ΔE_f: -0.13 eV/atom
- Total magnetic moment: 0.000 μB per formula unit
- Relative energy among the computed polymorphs: 0.55 eV per formula unit

---

Record 2
Crystalline PmZr3Sn2 at its relaxed geometry. Source: Alexandria, functional PBE.

```
data_PmZr3Sn2
_chemical_formula_sum 'Pm4 Zr12 Sn8'
_space_group_name_H-M_alt 'C 1 2/m 1'
_space_group_IT_number 12
_cell_length_a 17.602
_cell_length_b 4.483
_cell_length_c 8.468
_cell_angle_alpha 90.00
_cell_angle_beta 114.01
_cell_angle_gamma 90.00
loop_
_space_group_symop_operation_xyz
'x,y,z'
'-x,-y,-z'
'-x,y,-z'
'x,-y,z'
'x+1/2,y+1/2,z'
'-x+1/2,-y+1/2,-z'
'-x+1/2,y+1/2,-z'
'x+1/2,-y+1/2,z'
loop_
_atom_site_label
_atom_site_type_symbol
_atom_site_fract_x
_atom_site_fract_y
_atom_site_fract_z
Pm1 Pm 0.118 0.000 0.170
Zr1 Zr 0.066 0.000 0.687
Zr2 Zr 0.120 0.500 0.496
Zr3 Zr 0.196 0.500 0.889
Sn1 Sn 0.021 0.500 0.853
Sn2 Sn 0.241 0.000 0.686
```

- Crystal system: monoclinic
- ΔE_f: -0.40 eV/atom
- Total magnetic moment: 0.000 μB per formula unit

---

Record 3
Crystalline Pm5ZrSn6 at its relaxed geometry. Source: Alexandria, functional PBE.

```
data_Pm5ZrSn6
_chemical_formula_sum 'Pm10 Zr2 Sn12'
_space_group_name_H-M_alt 'C 1 2/m 1'
_space_group_IT_number 12
_cell_length_a 6.361
_cell_length_b 15.450
_cell_length_c 7.451
_cell_angle_alpha 90.00
_cell_angle_beta 107.45
_cell_angle_gamma 90.00
loop_
_space_group_symop_operation_xyz
'x,y,z'
'-x,-y,-z'
'-x,y,-z'
'x,-y,z'
'x+1/2,y+1/2,z'
'-x+1/2,-y+1/2,-z'
'-x+1/2,y+1/2,-z'
'x+1/2,-y+1/2,z'
loop_
_atom_site_label
_atom_site_type_symbol
_atom_site_fract_x
_atom_site_fract_y
_atom_site_fract_z
Pm1 Pm 0.000 0.000 0.000
Pm2 Pm 0.000 0.315 0.000
Pm3 Pm 0.000 0.348 0.500
Zr1 Zr 0.000 0.000 0.500
Sn1 Sn 0.013 0.162 0.720
Sn2 Sn 0.033 0.500 0.220
```

- Crystal system: monoclinic
- ΔE_f: -0.59 eV/atom
- Total magnetic moment: 0.000 μB per formula unit

---

Record 4
Crystalline Pm3ZrSn2 at its relaxed geometry. Source: Alexandria, functional PBE.

```
data_Pm3ZrSn2
_chemical_formula_sum 'Pm12 Zr4 Sn8'
_space_group_name_H-M_alt 'I b a m'
_space_group_IT_number 72
_space_group_name_Hall '-I 2 2c'
_cell_length_a 6.409
_cell_length_b 17.143
_cell_length_c 6.390
_cell_angle_alpha 90.00
_cell_angle_beta 90.00
_cell_angle_gamma 90.00
loop_
_atom_site_label
_atom_site_type_symbol
_atom_site_fract_x
_atom_site_fract_y
_atom_site_fract_z
Pm1 Pm 0.000 0.000 0.250
Pm2 Pm 0.248 0.173 0.000
Zr1 Zr 0.000 0.500 0.250
Sn1 Sn 0.236 0.365 0.000
```

- Crystal system: orthorhombic
- ΔE_f: -0.55 eV/atom
- Total magnetic moment: 0.000 μB per formula unit